(1)
BeNi2Ag | Alexandria via LeMat-Bulk | meta-GGA SCAN | PBEsol geometry; uncorrected energy = -16.99 eV per atom; calculated volume = 11.060 Å³/atom; formation enthalpy at 0 K = 0.03 eV per atom; space group = Immm (71)
1.0
-1.5404 1.9441 -0.9263
-0.3807 -2.0004 -3.5655
-2.3275 -1.8956 3.6763
Ni Be Ag
2 1 1
direct
0.2808 0.2808 0.5616
0.7192 0.7192 0.4384
0.0000 0.5000 0.0000
0.5000 0.0000 0.0000

---

(2)
BeNi2Ag | Alexandria via LeMat-Bulk | meta-GGA SCAN | PBEsol geometry; uncorrected energy = -16.97 eV per atom; calculated volume = 11.367 Å³/atom; formation enthalpy at 0 K = 0.05 eV per atom; space group = R-3m (166)
1.0
2.5968 0.0000 0.0000
1.2984 2.2489 0.0000
1.2984 0.7496 7.7857
Be Ag Ni
1 1 2
direct
0.0000 0.0000 0.0000
0.5000 0.5000 0.5000
0.2630 0.2630 0.2109
0.7370 0.7370 0.7891

---

(3)
BeNiAg2 | Alexandria via LeMat-Bulk | meta-GGA SCAN | PBEsol geometry; uncorrected energy = -20.70 eV per atom; calculated volume = 13.131 Å³/atom; formation enthalpy at 0 K = 0.11 eV per atom; space group = R3m (160)
1.0
-1.5773 -0.7060 -2.1039
1.0337 -1.4751 -2.0416
-2.3000 -7.6034 2.5140
Ni Be Ag
1 1 2
direct
0.7625 0.7625 0.7126
0.4919 0.4919 0.5242
0.0064 0.0064 0.9808
0.2392 0.2392 0.2825